No. 1
This record from the Alexandria database describes an optimized crystal structure of Er4GaIr2. The functional is GGA-PBE.

Summary:
E_form = -0.71 eV per atom
Density = 11.7 g/cm3
Distance to the lowest polymorph of the same formula = 0.034 eV/atom

Lattice parameters (Å, degrees): 7.0864 7.1129 7.3773 106.27 107.26 104.30
Space group P1 (No. 1)
Inequivalent atoms, fractional coordinates:
1 Er 0.0000 0.0000 0.0000 (multiplicity 1)
2 Er 0.0244 0.1802 0.5892 (multiplicity 1)
3 Er 0.1582 0.5581 0.0488 (multiplicity 1)
4 Er 0.2076 0.7622 0.6653 (multiplicity 1)
5 Er 0.3959 0.4151 0.4136 (multiplicity 1)
6 Er 0.5768 0.0557 0.1944 (multiplicity 1)
7 Er 0.6361 0.2256 0.7861 (multiplicity 1)
8 Er 0.7491 0.6365 0.2518 (multiplicity 1)
9 Ga 0.2735 0.9549 0.3828 (multiplicity 1)
10 Ga 0.5890 0.6792 0.8522 (multiplicity 1)
11 Ir 0.3548 0.2577 0.9746 (multiplicity 1)
12 Ir 0.6264 0.8505 0.5428 (multiplicity 1)
13 Ir 0.8445 0.5323 0.6798 (multiplicity 1)
14 Ir 0.9647 0.3661 0.2862 (multiplicity 1)


No. 2
This record from the Alexandria database describes an optimized crystal structure of Er6GaIr5. The functional is GGA-PBE.

Summary:
E_form = -0.83 eV per atom
Density = 14.1 g/cm3

Lattice parameters (Å, degrees): 4.7581 7.0507 14.3325 90.00 90.00 90.00
Space group Immm (No. 71)
Inequivalent atoms, fractional coordinates:
1 Er 0.0000 0.2409 0.0000 (multiplicity 4)
2 Er 0.0000 0.2545 0.3303 (multiplicity 8)
3 Ga 0.0000 0.0000 0.5000 (multiplicity 2)
4 Ir 0.0000 0.0000 0.1677 (multiplicity 4)
5 Ir 0.0000 0.5000 0.1631 (multiplicity 4)
6 Ir 0.0000 0.5000 0.5000 (multiplicity 2)


No. 3
This record from the Alexandria database describes an optimized crystal structure of Er2Ga9Ir3. The functional is GGA-PBE.

Summary:
E_form = -0.66 eV per atom
Density = 10.9 g/cm3

Lattice parameters (Å, degrees): 13.0874 7.5797 9.4829 90.00 90.00 90.00
Space group Cmcm (No. 63)
Inequivalent atoms, fractional coordinates:
1 Er 0.1642 0.1662 0.2500 (multiplicity 8)
2 Ga 0.0000 0.1283 0.7500 (multiplicity 4)
3 Ga 0.0000 0.3321 0.0669 (multiplicity 8)
4 Ga 0.1040 0.4431 0.7500 (multiplicity 8)
5 Ga 0.1676 0.1670 0.5811 (multiplicity 16)
6 Ir 0.0000 0.0000 0.0000 (multiplicity 4)
7 Ir 0.1716 0.5000 0.0000 (multiplicity 8)


No. 4
This record from the Alexandria database describes an optimized crystal structure of LaErGaIr. The functional is GGA-PBE.

Summary:
E_form = -0.58 eV per atom
Density = 10.3 g/cm3

Lattice parameters (Å, degrees): 7.1660 7.1660 7.1660 90.00 90.00 90.00
Space group F-43m (No. 216)
Inequivalent atoms, fractional coordinates:
1 La 0.0000 0.0000 0.0000 (multiplicity 4)
2 Er 0.0000 0.0000 0.5000 (multiplicity 4)
3 Ga 0.2500 0.2500 0.7500 (multiplicity 4)
4 Ir 0.2500 0.2500 0.2500 (multiplicity 4)


No. 5
This record from the Alexandria database describes an optimized crystal structure of LiErGa4Ir2. The functional is GGA-PBE.

Summary:
E_form = -0.56 eV per atom
Density = 11.0 g/cm3

Lattice parameters (Å, degrees): 4.3828 4.3828 22.8609 90.00 90.00 120.00
Space group R-3m (No. 166, hexagonal axes)
Inequivalent atoms, fractional coordinates:
1 Li 0.0000 0.0000 0.0000 (multiplicity 3)
2 Er 0.0000 0.0000 0.5000 (multiplicity 3)
3 Ga 0.0000 0.0000 0.1092 (multiplicity 6)
4 Ga 0.0000 0.0000 0.3680 (multiplicity 6)
5 Ir 0.0000 0.0000 0.2526 (multiplicity 6)


No. 6
This record from the Alexandria database describes an optimized crystal structure of LiErGaIr. The functional is GGA-PBE.

Summary:
E_form = -0.58 eV per atom
Density = 10.6 g/cm3

Lattice parameters (Å, degrees): 6.4984 6.4984 6.4984 90.00 90.00 90.00
Space group F-43m (No. 216)
Inequivalent atoms, fractional coordinates:
1 Li 0.0000 0.0000 0.0000 (multiplicity 4)
2 Er 0.2500 0.2500 0.2500 (multiplicity 4)
3 Ga 0.2500 0.2500 0.7500 (multiplicity 4)
4 Ir 0.0000 0.0000 0.5000 (multiplicity 4)


No. 7
This record from the Alexandria database describes an optimized crystal structure of Er2MgGa2Ir5. The functional is GGA-PBE.

Summary:
E_form = -0.60 eV per atom
Density = 14.2 g/cm3

Lattice parameters (Å, degrees): 9.7544 9.7544 3.5934 90.00 90.00 90.00
Space group P4/mbm (No. 127)
Inequivalent atoms, fractional coordinates:
1 Er 0.1738 0.3262 0.0000 (multiplicity 4)
2 Mg 0.0000 0.0000 0.0000 (multiplicity 2)
3 Ga 0.1258 0.6258 0.0000 (multiplicity 4)
4 Ir 0.0000 0.5000 0.5000 (multiplicity 2)
5 Ir 0.0660 0.7950 0.5000 (multiplicity 8)


No. 8
This record from the Alexandria database describes an optimized crystal structure of NdErGaIr. The functional is GGA-PBE.

Summary:
E_form = -0.59 eV per atom
Density = 10.6 g/cm3
Distance to the lowest polymorph of the same formula = 0.096 eV/atom

Lattice parameters (Å, degrees): 7.1027 7.1027 7.1027 90.00 90.00 90.00
Space group F-43m (No. 216)
Inequivalent atoms, fractional coordinates:
1 Nd 0.0000 0.0000 0.0000 (multiplicity 4)
2 Er 0.0000 0.0000 0.5000 (multiplicity 4)
3 Ga 0.2500 0.2500 0.2500 (multiplicity 4)
4 Ir 0.2500 0.2500 0.7500 (multiplicity 4)


No. 9
This record from the Alexandria database describes an optimized crystal structure of Nd2ErGa3Ir4. The functional is GGA-PBE.

Summary:
E_form = -0.72 eV per atom
Density = 11.8 g/cm3

Lattice parameters (Å, degrees): 4.2629 4.2629 11.0792 90.00 90.00 90.00
Space group P-4m2 (No. 115)
Inequivalent atoms, fractional coordinates:
1 Nd 0.0000 0.5000 0.2233 (multiplicity 2)
2 Er 0.0000 0.0000 0.5000 (multiplicity 1)
3 Ga 0.0000 0.5000 0.8816 (multiplicity 2)
4 Ga 0.5000 0.5000 0.5000 (multiplicity 1)
5 Ir 0.0000 0.0000 0.0000 (multiplicity 1)
6 Ir 0.0000 0.5000 0.6544 (multiplicity 2)
7 Ir 0.5000 0.5000 0.0000 (multiplicity 1)


No. 10
This record from the Alexandria database describes an optimized crystal structure of NdErGaIr. The functional is GGA-PBE.

Summary:
E_form = -0.69 eV per atom
Density = 10.1 g/cm3
Distance to the lowest polymorph of the same formula = 0.000 eV/atom

Lattice parameters (Å, degrees): 4.2246 4.1033 10.8488 90.00 90.00 90.00
Space group Amm2 (No. 38)
Inequivalent atoms, fractional coordinates:
1 Nd 0.0000 0.0000 0.0000 (multiplicity 2)
2 Er 0.5000 0.0000 0.7173 (multiplicity 2)
3 Ga 0.5000 0.0000 0.4190 (multiplicity 2)
4 Ir 0.0000 0.0000 0.2774 (multiplicity 2)


No. 11
This record from the Alexandria database describes an optimized crystal structure of ErGa4NiIr2. The functional is GGA-PBE.

Summary:
E_form = -0.52 eV per atom
Density = 11.4 g/cm3

Lattice parameters (Å, degrees): 4.2310 4.2310 25.1102 90.00 90.00 120.00
Space group R-3m (No. 166, hexagonal axes)
Inequivalent atoms, fractional coordinates:
1 Er 0.0000 0.0000 0.0000 (multiplicity 3)
2 Ga 0.0000 0.0000 0.1327 (multiplicity 6)
3 Ga 0.0000 0.0000 0.3987 (multiplicity 6)
4 Ni 0.0000 0.0000 0.5000 (multiplicity 3)
5 Ir 0.0000 0.0000 0.2362 (multiplicity 6)


No. 12
This record from the Alexandria database describes an optimized crystal structure of Er2Ga3Ni4Ir. The functional is GGA-PBE.

Summary:
E_form = -0.52 eV per atom
Density = 10.1 g/cm3

Lattice parameters (Å, degrees): 3.8560 3.8560 10.7615 90.00 90.00 90.00
Space group P-4m2 (No. 115)
Inequivalent atoms, fractional coordinates:
1 Er 0.0000 0.5000 0.2399 (multiplicity 2)
2 Ga 0.0000 0.0000 0.0000 (multiplicity 1)
3 Ga 0.0000 0.5000 0.6319 (multiplicity 2)
4 Ni 0.0000 0.0000 0.5000 (multiplicity 1)
5 Ni 0.0000 0.5000 0.8516 (multiplicity 2)
6 Ni 0.5000 0.5000 0.5000 (multiplicity 1)
7 Ir 0.5000 0.5000 0.0000 (multiplicity 1)


No. 13
This record from the Alexandria database describes an optimized crystal structure of ErGa3NiIr. The functional is GGA-PBE.

Summary:
E_form = -0.41 eV per atom
Density = 9.3 g/cm3

Lattice parameters (Å, degrees): 7.9156 10.5126 5.3832 90.00 90.00 90.00
Space group Cmcm (No. 63)
Inequivalent atoms, fractional coordinates:
1 Er 0.0000 0.2007 0.2500 (multiplicity 4)
2 Ga 0.0000 0.3223 0.7500 (multiplicity 4)
3 Ga 0.2504 0.0000 0.0000 (multiplicity 8)
4 Ni 0.0000 0.4556 0.2500 (multiplicity 4)
5 Ir 0.0000 0.0889 0.7500 (multiplicity 4)


No. 14
This record from the Alexandria database describes an optimized crystal structure of ErGaIrO6. The functional is GGA-PBE.

Summary:
Density = 8.3 g/cm3
Raw formation energy = -14.41 eV per formula unit

Lattice parameters (Å, degrees): 5.2910 5.2910 8.6273 90.00 90.00 120.00
Space group P-31c (No. 163)
Inequivalent atoms, fractional coordinates:
1 Er 0.3333 0.6667 0.2500 (multiplicity 2)
2 Ga 0.0000 0.0000 0.0000 (multiplicity 2)
3 Ir 0.3333 0.6667 0.7500 (multiplicity 2)
4 O 0.0372 0.3502 0.6206 (multiplicity 12)


No. 15
This record from the Alexandria database describes an optimized crystal structure of ErGa4Ir2Os. The functional is GGA-PBE.

Summary:
E_form = -0.42 eV per atom
Density = 12.9 g/cm3

Lattice parameters (Å, degrees): 4.2601 4.2601 25.1342 90.00 90.00 120.00
Space group R-3m (No. 166, hexagonal axes)
Inequivalent atoms, fractional coordinates:
1 Er 0.0000 0.0000 0.0000 (multiplicity 3)
2 Ga 0.0000 0.0000 0.1316 (multiplicity 6)
3 Ga 0.0000 0.0000 0.3975 (multiplicity 6)
4 Ir 0.0000 0.0000 0.2427 (multiplicity 6)
5 Os 0.0000 0.0000 0.5000 (multiplicity 3)


No. 16
This record from the Alexandria database describes an optimized crystal structure of Er3GaP2Ir9. The functional is GGA-PBE.

Summary:
E_form = -0.41 eV per atom
Density = 14.0 g/cm3

Lattice parameters (Å, degrees): 5.5857 5.5857 10.3792 90.00 90.00 120.00
Space group P-3m1 (No. 164)
Inequivalent atoms, fractional coordinates:
1 Er 0.0000 0.0000 0.0000 (multiplicity 1)
2 Er 0.3333 0.6667 0.5781 (multiplicity 2)
3 Ga 0.0000 0.0000 0.5000 (multiplicity 1)
4 P 0.3333 0.6667 0.1609 (multiplicity 2)
5 Ir 0.0000 0.5000 0.0000 (multiplicity 3)
6 Ir 0.1601 0.3203 0.3083 (multiplicity 6)


No. 17
This record from the Alexandria database describes an optimized crystal structure of ErGaIrPd. The functional is GGA-PBE.

Summary:
E_form = -0.72 eV per atom
Density = 12.8 g/cm3

Lattice parameters (Å, degrees): 6.5252 6.5252 6.5252 90.00 90.00 90.00
Space group F-43m (No. 216)
Inequivalent atoms, fractional coordinates:
1 Er 0.0000 0.0000 0.0000 (multiplicity 4)
2 Ga 0.0000 0.0000 0.5000 (multiplicity 4)
3 Ir 0.2500 0.2500 0.7500 (multiplicity 4)
4 Pd 0.2500 0.2500 0.2500 (multiplicity 4)


No. 18
This record from the Alexandria database describes an optimized crystal structure of Er2Ga4Ir3Pd. The functional is GGA-PBE.

Summary:
E_form = -0.72 eV per atom
Density = 11.8 g/cm3

Lattice parameters (Å, degrees): 4.1515 4.1515 10.5641 90.00 90.00 90.00
Space group P-4m2 (No. 115)
Inequivalent atoms, fractional coordinates:
1 Er 0.0000 0.5000 0.2496 (multiplicity 2)
2 Ga 0.0000 0.0000 0.0000 (multiplicity 1)
3 Ga 0.0000 0.5000 0.6310 (multiplicity 2)
4 Ga 0.5000 0.5000 0.0000 (multiplicity 1)
5 Ir 0.0000 0.5000 0.8616 (multiplicity 2)
6 Ir 0.5000 0.5000 0.5000 (multiplicity 1)
7 Pd 0.0000 0.0000 0.5000 (multiplicity 1)


No. 19
This record from the Alexandria database describes an optimized crystal structure of ErGa4IrPd2. The functional is GGA-PBE.

Summary:
E_form = -0.58 eV per atom
Density = 10.3 g/cm3

Lattice parameters (Å, degrees): 4.2841 4.2841 25.8335 90.00 90.00 120.00
Space group R-3m (No. 166, hexagonal axes)
Inequivalent atoms, fractional coordinates:
1 Er 0.0000 0.0000 0.0000 (multiplicity 3)
2 Ga 0.0000 0.0000 0.1332 (multiplicity 6)
3 Ga 0.0000 0.0000 0.3971 (multiplicity 6)
4 Ir 0.0000 0.0000 0.5000 (multiplicity 3)
5 Pd 0.0000 0.0000 0.2409 (multiplicity 6)


No. 20
This record from the Alexandria database describes an optimized crystal structure of PmErGa2Ir2. The functional is GGA-PBE.

Summary:
E_form = -0.78 eV per atom
Density = 11.5 g/cm3

Lattice parameters (Å, degrees): 4.4145 4.4145 7.1380 90.00 90.00 120.00
Space group P-3m1 (No. 164)
Inequivalent atoms, fractional coordinates:
1 Pm 0.0000 0.0000 0.0000 (multiplicity 1)
2 Er 0.0000 0.0000 0.5000 (multiplicity 1)
3 Ga 0.3333 0.6667 0.2714 (multiplicity 2)
4 Ir 0.3333 0.6667 0.7295 (multiplicity 2)